# Zn2CoAs

Crystalline Zn2CoAs at its relaxed geometry (PBE, Alexandria via LeMat-Bulk).

Output
Formation energy (eV per formula unit): 0.336
Density of states at the Fermi level (states/eV per atom): 0.616

CIF file:
```
data_Zn2CoAs
_cell_length_a 3.7008
_cell_length_b 3.3009
_cell_length_c 5.1953
_cell_angle_alpha 70.95
_cell_angle_beta 90.00
_cell_angle_gamma 90.00
_symmetry_space_group_name_H-M 'P 1'
_symmetry_Int_Tables_number 1
loop_
_symmetry_equiv_pos_as_xyz
'x,y,z'
loop_
_atom_site_label
_atom_site_type_symbol
_atom_site_fract_x
_atom_site_fract_y
_atom_site_fract_z
As1 As 0.0000 0.6904 0.4943
Co1 Co 0.5000 0.5523 0.7724
Zn1 Zn 0.5000 0.2995 0.2793
Zn2 Zn 0.0000 0.9578 0.9540
```